1.
Compound: AlFeOs2
Source: Alexandria via LeMat-Bulk
Functional: GGA-PBE
Structure: optimized geometry

Properties
**SG**: R3m (160)
**Formation enthalpy at 0 K**: 17 meV/atom

a b c (Å): 8.6360 8.6360 8.6360
angles (deg): 18.13 18.13 18.13
Closest atoms and distances in Å follow each position.
Element x y z (fractional)
Fe1 0.7506 0.7506 0.7506  3 Al 2.56, 3 Os 2.58, 6 Fe 2.72
Os1 0.0036 0.0036 0.0036  3 Fe 2.58, 9 Os 2.72-2.73
Al1 0.4965 0.4965 0.4965  3 Fe 2.56, 3 Os 2.70, 6 Al 2.72
Os2 0.2494 0.2494 0.2494  3 Al 2.70, 9 Os 2.72-2.73



2.
Compound: AgPd2Pt
Source: Alexandria via LeMat-Bulk
Functional: GGA-PBE
Structure: optimized geometry

Properties
**SG**: P4/mmm (123)
**Polymorph energy (0 for the lowest one)**: 34 kJ/mol of formula units
**Formation enthalpy at 0 K**: 47 meV/atom

a b c (Å): 3.2521 3.2521 6.1275
angles (deg): 90.00 90.00 90.00
Closest atoms and distances in Å follow each position.
Element x y z (fractional)
Pt1 0.5000 0.5000 0.0000  8 Pd 2.72
Ag1 0.5000 0.5000 0.5000  8 Pd 2.81, 2 Pt 3.06
Pd1 0.0000 0.0000 0.2372  4 Pt 2.72, 4 Ag 2.81, 1 Pd 2.91
Pd2 0.0000 0.0000 0.7628  4 Pt 2.72, 4 Ag 2.81, 1 Pd 2.91